Density functional theory data (PBE-GGA) for a relaxed structure of AcLaPrDy.

Total magnetic moment (μB per formula unit): 1.56
Electronic total energy (eV per atom): -4.4456
Formation energy from the elements (eV per formula unit): 0.6
Space group: F-43m, No. 216
Energy relative to the lowest polymorph listed for this composition (eV/atom): 0.042
Crystal system: cubic

Structure (POSCAR):
```
AcLaPrDy
1.0
-4.7709 -3.0963 1.8458
0.7338 -4.9867 3.2171
-1.4650 -0.0608 5.7970
Pr La Ac Dy
1 1 1 1
Direct
0.7500 0.7500 0.7500 Pr
0.2500 0.2500 0.2500 La
0.5000 0.5000 0.5000 Ac
0.0000 0.0000 0.0000 Dy
```